[1]
Below is a relaxed AlZn2Re crystal, with properties calculated at the PBEsol level.

Results
- ΔE_f: 159 meV per atom
- DFT total energy: -19.952 eV for the cell shown

a = 2.7629 Å, b = 2.7629 Å, c = 8.8952 Å
α = 81.07°, β = 81.07°, γ = 60.00°
Last column: nearest neighbours and their distance in Å.
Fractional coordinates of all 4 atoms:
Zn  0.2509  0.2509  0.2474  3 Re 2.69, 3 Al 2.73, 6 Zn 2.76
Zn  0.7491  0.7491  0.7526  3 Re 2.69, 3 Al 2.73, 6 Zn 2.76
Al  0.5000  0.5000  0.5000  6 Zn 2.73, 6 Al 2.76
Re  0.0000  0.0000  0.0000  6 Zn 2.69, 6 Re 2.76

***

[2]
Below is a relaxed Y2SnHg2 crystal, with properties calculated at the PBEsol level.

Results
- ΔE_f: -596 meV per atom
- DFT total energy: -44.033 eV for the cell shown

a = 4.3992 Å, b = 7.4947 Å, c = 7.4947 Å
α = 90.00°, β = 90.00°, γ = 90.00°
Last column: nearest neighbours and their distance in Å.
Fractional coordinates of all 10 atoms:
Sn  0.0000  0.5000  0.5000  4 Hg 2.93
Sn  0.0000  0.0000  0.0000  4 Hg 2.93
Hg  0.0000  0.1318  0.3682  1 Hg 2.79, 2 Sn 2.93, 2 Y 3.04
Hg  0.0000  0.6318  0.1318  1 Hg 2.79, 2 Sn 2.93, 2 Y 3.04
Hg  0.0000  0.3682  0.8682  1 Hg 2.79, 2 Sn 2.93, 2 Y 3.04
Hg  0.0000  0.8682  0.6318  1 Hg 2.79, 2 Sn 2.93, 2 Y 3.04
Y  0.5000  0.8303  0.3303  6 Hg 3.04-3.17
Y  0.5000  0.3303  0.1697  6 Hg 3.04-3.17
Y  0.5000  0.1697  0.6697  6 Hg 3.04-3.17
Y  0.5000  0.6697  0.8303  6 Hg 3.04-3.17

***

[3]
Below is a relaxed K2TiZnO4 crystal, with properties calculated at the PBEsol level.

Results
- DFT total energy: -404.624 eV for the cell shown
- Formation energy from raw total energies: -2.18 eV/atom

a = 5.6132 Å, b = 11.2591 Å, c = 15.9424 Å
α = 90.00°, β = 90.00°, γ = 90.00°
Last column: nearest neighbours and their distance in Å.
Fractional coordinates of all 64 atoms:
O  0.8848  0.0969  0.5845  1 Ti 1.82, 1 Zn 1.96
O  0.7009  0.6940  0.6726  1 Ti 1.82, 1 Zn 1.95
O  0.6830  0.5257  0.4703  1 Ti 1.83, 1 Zn 1.96
O  0.5855  0.3342  0.3484  1 Ti 1.83, 1 Zn 1.94
O  0.1839  0.8074  0.6900  1 Ti 1.82, 1 Zn 1.96
O  0.5855  0.1658  0.8484  1 Ti 1.83, 1 Zn 1.94
O  0.3170  0.0257  0.4703  1 Ti 1.83, 1 Zn 1.96
O  0.2991  0.1940  0.6726  1 Ti 1.82, 1 Zn 1.95
O  0.6830  0.9743  0.9703  1 Ti 1.83, 1 Zn 1.96
O  0.8848  0.4031  0.0845  1 Ti 1.82, 1 Zn 1.96
O  0.1839  0.6926  0.1900  1 Ti 1.82, 1 Zn 1.96
O  0.1152  0.5969  0.5845  1 Ti 1.82, 1 Zn 1.96
O  0.8161  0.3074  0.6900  1 Ti 1.82, 1 Zn 1.96
O  0.3853  0.4150  0.7890  1 Ti 1.82, 1 Zn 1.97
O  0.2039  0.5167  0.3928  1 Ti 1.82, 1 Zn 1.95
O  0.4145  0.8342  0.3484  1 Ti 1.83, 1 Zn 1.94
O  0.7961  0.4833  0.8928  1 Ti 1.82, 1 Zn 1.95
O  0.2991  0.3060  0.1726  1 Ti 1.82, 1 Zn 1.95
O  0.6147  0.9150  0.7890  1 Ti 1.82, 1 Zn 1.97
O  0.0870  0.3265  0.5276  1 Ti 1.82, 1 Zn 1.95
O  0.6147  0.5850  0.2890  1 Ti 1.82, 1 Zn 1.97
O  0.7009  0.8060  0.1726  1 Ti 1.82, 1 Zn 1.95
O  0.8161  0.1926  0.1900  1 Ti 1.82, 1 Zn 1.96
O  0.9130  0.6735  0.0276  1 Ti 1.82, 1 Zn 1.95
O  0.3170  0.4743  0.9703  1 Ti 1.83, 1 Zn 1.96
O  0.3853  0.0850  0.2890  1 Ti 1.82, 1 Zn 1.97
O  0.4145  0.6658  0.8484  1 Ti 1.83, 1 Zn 1.94
O  0.9130  0.8265  0.5276  1 Ti 1.82, 1 Zn 1.95
O  0.1152  0.9031  0.0845  1 Ti 1.82, 1 Zn 1.96
O  0.0870  0.1735  0.0276  1 Ti 1.82, 1 Zn 1.95
O  0.2039  0.9833  0.8928  1 Ti 1.82, 1 Zn 1.95
O  0.7961  0.0167  0.3928  1 Ti 1.82, 1 Zn 1.95
Zn  0.5264  0.2360  0.2508  4 O 1.94-1.97
Zn  0.0167  0.4892  0.4944  4 O 1.95-1.96
Zn  0.9833  0.5108  0.9944  4 O 1.95-1.96
Zn  0.0167  0.0108  0.9944  4 O 1.95-1.96
Zn  0.4736  0.7640  0.7508  4 O 1.94-1.97
Zn  0.9833  0.9892  0.4944  4 O 1.95-1.96
Zn  0.4736  0.7360  0.2508  4 O 1.94-1.97
Zn  0.5264  0.2640  0.7508  4 O 1.94-1.97
Ti  0.9759  0.7345  0.6190  4 O 1.82
Ti  0.4804  0.9890  0.3747  4 O 1.82-1.83
Ti  0.5196  0.4890  0.3747  4 O 1.82-1.83
Ti  0.5196  0.0110  0.8747  4 O 1.82-1.83
Ti  0.0241  0.2655  0.1190  4 O 1.82
Ti  0.4804  0.5110  0.8747  4 O 1.82-1.83
Ti  0.0241  0.2345  0.6190  4 O 1.82
Ti  0.9759  0.7655  0.1190  4 O 1.82
K  0.9579  0.7309  0.3690  4 O 2.76-2.83
K  0.5406  0.2664  0.0030  4 O 2.71-2.79
K  0.5406  0.2336  0.5030  4 O 2.71-2.79
K  0.4923  0.5139  0.1252  5 O 2.61-2.85
K  0.4594  0.7336  0.5030  4 O 2.71-2.79
K  0.4594  0.7664  0.0030  4 O 2.71-2.79
K  0.0421  0.2691  0.8690  4 O 2.76-2.83
K  0.9863  0.9888  0.2435  5 O 2.59-2.84
K  0.5077  0.4861  0.6252  5 O 2.61-2.85
K  0.5077  0.0139  0.1252  5 O 2.61-2.85
K  0.0421  0.2309  0.3690  4 O 2.76-2.83
K  0.0137  0.4888  0.2435  5 O 2.59-2.84
K  0.9579  0.7691  0.8690  4 O 2.76-2.83
K  0.9863  0.5112  0.7435  5 O 2.59-2.84
K  0.4923  0.9861  0.6252  5 O 2.61-2.85
K  0.0137  0.0112  0.7435  5 O 2.59-2.84

***

[4]
Below is a relaxed AgRh2Br crystal, with properties calculated at the PBEsol level.

Results
- DFT total energy: -18.547 eV for the cell shown
- Formation energy from raw total energies: 0.73 eV/atom
- Polymorph energy (0 for the lowest one): 249 meV/atom

a = 4.4996 Å, b = 4.4996 Å, c = 4.4996 Å
α = 60.00°, β = 60.00°, γ = 60.00°
Last column: nearest neighbours and their distance in Å.
Fractional coordinates of all 4 atoms:
Rh  0.0000  0.0000  0.0000  4 Br 2.76, 4 Rh 2.76
Rh  0.7500  0.7500  0.7500  4 Rh 2.76, 4 Ag 2.76
Br  0.2500  0.2500  0.2500  4 Rh 2.76, 4 Ag 2.76
Ag  0.5000  0.5000  0.5000  4 Rh 2.76, 4 Br 2.76

***

Result set for M_tot: 0.00, 0.00, 0.00, 1.64 μB/f.u., one per record in the order listed.